The following is a PBE-GGA calculation of crystalline LiLa3Ru at its relaxed geometry, from the Alexandria database.

abc: 6.685 6.781 7.256
angles: 79.09 98.92 71.35
Sites, in units of the cell vectors:
Ru 0.966 0.182 0.217
Ru 0.823 0.721 0.670
La 0.193 0.895 0.589
La 0.626 0.518 0.993
La 0.610 0.032 0.346
La 0.752 0.999 0.876
La 0.065 0.487 0.394
La 0.155 0.347 0.921
Li 0.617 0.479 0.506
Li 0.253 0.832 0.138

Properties
- Formation enthalpy at 0 K: -0.123 eV per atom
- Distance to the lowest polymorph of the same formula: 43 meV per atom
- Theoretical density: 5.9 g/cm3
- SG: P1
- DOS at the Fermi energy: 1.265 states/eV/atom